## CdFeRu2 (PBE)

Data for crystalline CdFeRu2 at its relaxed geometry.

Properties
The calculation puts the volume at 15.19 Å³ per atom. The total energy comes out at -6.47 eV/atom. The space-group type is No. 47. As for the density: 10.12 g/cm³. Its formation energy is 511 meV/atom.

a b c (Å): 2.933 4.587 4.516
angles (deg): 90.00 90.00 90.00
Fractional coordinates of all 4 atoms:
Cd  0.500  0.000  0.500
Fe  0.000  0.500  0.500
Ru  0.000  0.000  0.000
Ru  0.500  0.500  0.000


## Cd2FeRu (PBE)

Data for crystalline Cd2FeRu at its relaxed geometry.

Properties
The calculation puts the volume at 16.55 Å³ per atom. The total energy comes out at -4.48 eV/atom. Its energy above the most stable polymorph in this dataset is 230.6 meV/atom. The space-group type is No. 166. As for the density: 9.57 g/cm³. Its formation energy is 414 meV/atom.

a b c (Å): 9.483 9.483 9.483
angles (deg): 17.36 17.36 17.36
Fractional coordinates of all 4 atoms:
Cd  0.999  0.999  0.999
Cd  0.501  0.501  0.501
Fe  0.250  0.250  0.250
Ru  0.750  0.750  0.750


## CdFe2Ru (PBE)

Data for crystalline CdFe2Ru at its relaxed geometry.

Properties
The calculation puts the volume at 14.61 Å³ per atom. The total energy comes out at -6.46 eV/atom. The space-group type is No. 35. As for the density: 9.24 g/cm³. Its formation energy is 320 meV/atom.

a b c (Å): 2.688 2.688 8.734
angles (deg): 90.00 90.00 112.20
Fractional coordinates of all 4 atoms:
Cd  0.500  0.500  0.756
Fe  0.000  0.000  0.027
Fe  0.500  0.500  0.243
Ru  0.000  0.000  0.475


## Cd2FeRu (PBE)

Data for crystalline Cd2FeRu at its relaxed geometry.

Properties
The calculation puts the volume at 16.68 Å³ per atom. The total energy comes out at -4.53 eV/atom. Its energy above the most stable polymorph in this dataset is 174.3 meV/atom. The space-group type is No. 71. As for the density: 9.50 g/cm³. Its formation energy is 358 meV/atom.

a b c (Å): 5.071 5.071 5.071
angles (deg): 133.77 133.91 67.34
Fractional coordinates of all 4 atoms:
Cd  0.000  0.000  0.000
Cd  0.500  0.500  0.000
Fe  0.750  0.250  0.500
Ru  0.250  0.750  0.500